An optimized crystal structure of Ca2HgC, computed with PBEsol.

Cell: 7.4036 7.4036 6.9985 Å, 90.00 90.00 90.00°
Space group I-42d (No. 122)
Inequivalent atoms, fractional coordinates:
Ca: 0.1632 0.7500 0.1250 (multiplicity 8)
Hg: 0.0000 0.0000 0.5000 (multiplicity 4)
C: 0.0000 0.0000 0.0000 (multiplicity 4)

Summary:
Magnetization, μB/atom: 0.00
DFT total energy, eV per atom: -3.288


An optimized crystal structure of SiSeCl2, computed with PBEsol.

Cell: 3.0258 5.4015 10.0376 Å, 90.00 90.00 90.00°
Space group Cmmm (No. 65)
Inequivalent atoms, fractional coordinates:
Si: 0.0000 0.0000 0.0000 (multiplicity 2)
Se: 0.0000 0.0000 0.5000 (multiplicity 2)
Cl: 0.0000 0.5000 0.1821 (multiplicity 4)

Summary:
Magnetization, μB/atom: 0.00
Raw formation energy, meV per atom: 93
Energy above the lowest structure with this stoichiometry, kcal/mol of atoms: 0.00


An optimized crystal structure of Mn2MoAuO, computed with PBEsol.

Cell: 4.7212 4.7212 3.7236 Å, 90.00 90.00 90.00°
Space group P4/mmm (No. 123)
Inequivalent atoms, fractional coordinates:
Mn: 0.0000 0.5000 0.0000 (multiplicity 2)
Mo: 0.0000 0.0000 0.0000 (multiplicity 1)
Au: 0.5000 0.5000 0.5000 (multiplicity 1)
O: 0.0000 0.0000 0.5000 (multiplicity 1)

Summary:
Magnetization, μB/atom: 1.26
Raw formation energy, meV per atom: 527


An optimized crystal structure of Rb2MoO4, computed with PBEsol.

Cell: 8.1535 6.3943 10.9199 Å, 90.00 90.00 90.00°
Space group Pnma (No. 62)
Inequivalent atoms, fractional coordinates:
Rb: 0.0122 0.2500 0.2120 (multiplicity 4)
Rb: 0.1726 0.2500 0.5690 (multiplicity 4)
Mo: 0.2150 0.2500 0.9115 (multiplicity 4)
O: 0.0040 0.2500 0.9481 (multiplicity 4)
O: 0.1663 0.7500 0.5475 (multiplicity 4)
O: 0.2377 0.5247 0.3246 (multiplicity 8)

Summary:
Magnetization, μB/atom: 0.01
Raw formation energy, meV per atom: -2104
Energy above the lowest structure with this stoichiometry, kcal/mol of atoms: 0.15


An optimized crystal structure of Zr2CrP, computed with PBEsol.

Cell: 9.6775 3.1753 4.4825 Å, 90.00 105.33 90.00°
Space group Cm (No. 8)
Inequivalent atoms, fractional coordinates:
Zr: 0.0000 0.0000 0.0000 (multiplicity 2)
Zr: 0.2249 0.0000 0.6765 (multiplicity 2)
Cr: 0.4237 0.0000 0.4195 (multiplicity 2)
P: 0.2548 0.5000 0.1825 (multiplicity 2)

Summary:
Magnetization, μB/atom: 0.00
DFT total energy, eV per atom: -8.931


An optimized crystal structure of Y3I7O, computed with PBEsol.

Cell: 8.2007 8.2007 14.3343 Å, 90.00 90.00 120.00°
Space group P6_3mc (No. 186)
Inequivalent atoms, fractional coordinates:
Y: 0.1476 0.2952 0.0000 (multiplicity 6)
I: 0.0040 0.5020 0.3823 (multiplicity 6)
I: 0.1731 0.3462 0.6333 (multiplicity 6)
I: 0.3333 0.6667 0.1217 (multiplicity 2)
O: 0.0000 0.0000 0.4623 (multiplicity 2)

Summary:
Magnetization, μB/atom: 0.00
Raw formation energy, meV per atom: -1705


An optimized crystal structure of KCuRe3, computed with PBEsol.

Cell: 4.5729 4.5729 4.5729 Å, 90.00 90.00 90.00°
Space group Pm-3m (No. 221)
Inequivalent atoms, fractional coordinates:
K: 0.0000 0.0000 0.0000 (multiplicity 1)
Cu: 0.5000 0.5000 0.5000 (multiplicity 1)
Re: 0.0000 0.5000 0.5000 (multiplicity 3)

Summary:
Magnetization, μB/atom: 0.00
DFT total energy, eV per atom: -6.558


An optimized crystal structure of Cs2NaHg, computed with PBEsol.

Cell: 9.4410 9.4410 9.4410 Å, 90.00 90.00 90.00°
Space group Fm-3m (No. 225)
Inequivalent atoms, fractional coordinates:
Cs: 0.2500 0.2500 0.2500 (multiplicity 8)
Na: 0.0000 0.0000 0.0000 (multiplicity 4)
Hg: 0.0000 0.0000 0.5000 (multiplicity 4)

Summary:
Magnetization, μB/atom: 0.00
DFT total energy, eV per atom: -1.005


An optimized crystal structure of SiPdN2, computed with PBEsol.

Cell: 2.7720 2.7720 17.7345 Å, 90.00 90.00 120.00°
Space group R-3m (No. 166, hexagonal axes)
Inequivalent atoms, fractional coordinates:
Si: 0.0000 0.0000 0.0000 (multiplicity 3)
Pd: 0.0000 0.0000 0.5000 (multiplicity 3)
N: 0.0000 0.0000 0.3894 (multiplicity 6)

Summary:
Magnetization, μB/atom: 0.00
Raw formation energy, meV per atom: -345


An optimized crystal structure of Tm2ZnPt, computed with PBEsol.

Cell: 6.8425 6.8425 6.8425 Å, 90.00 90.00 90.00°
Space group Fm-3m (No. 225)
Inequivalent atoms, fractional coordinates:
Tm: 0.2500 0.2500 0.2500 (multiplicity 8)
Zn: 0.0000 0.0000 0.0000 (multiplicity 4)
Pt: 0.0000 0.0000 0.5000 (multiplicity 4)

Summary:
Magnetization, μB/atom: 0.00
DFT total energy, eV per atom: -5.413


An optimized crystal structure of NaYPO2, computed with PBEsol.

Cell: 4.1155 4.1155 4.4498 Å, 90.00 90.00 90.00°
Space group P4/mmm (No. 123)
Inequivalent atoms, fractional coordinates:
Na: 0.0000 0.0000 0.0000 (multiplicity 1)
Y: 0.5000 0.5000 0.5000 (multiplicity 1)
P: 0.0000 0.0000 0.5000 (multiplicity 1)
O: 0.0000 0.5000 0.0000 (multiplicity 2)

Summary:
Magnetization, μB/atom: 0.11
Raw formation energy, meV per atom: -339
Energy above the lowest structure with this stoichiometry, kcal/mol of atoms: 14.80


An optimized crystal structure of AgSb2, computed with PBEsol.

Cell: 3.9022 3.9022 9.3237 Å, 90.00 90.00 90.00°
Space group I4/mmm (No. 139)
Inequivalent atoms, fractional coordinates:
Ag: 0.0000 0.0000 0.0000 (multiplicity 2)
Sb: 0.0000 0.0000 0.3297 (multiplicity 4)

Summary:
Magnetization, μB/atom: 0.00
Raw formation energy, meV per atom: 226


An optimized crystal structure of TcSbW, computed with PBEsol.

Cell: 6.1304 6.1304 6.1304 Å, 90.00 90.00 90.00°
Space group F-43m (No. 216)
Inequivalent atoms, fractional coordinates:
Tc: 0.0000 0.0000 0.0000 (multiplicity 4)
Sb: 0.2500 0.2500 0.2500 (multiplicity 4)
W: 0.0000 0.0000 0.5000 (multiplicity 4)

Summary:
Magnetization, μB/atom: 0.00
Raw formation energy, meV per atom: 1174


An optimized crystal structure of La5Sc, computed with PBEsol.

Cell: 6.2489 6.2489 17.1451 Å, 90.00 90.00 120.00°
Space group R32 (No. 155, hexagonal axes)
Inequivalent atoms, fractional coordinates:
La: 0.0000 0.0000 0.1515 (multiplicity 6)
La: 0.0000 0.3788 0.0000 (multiplicity 9)
Sc: 0.0000 0.0000 0.5000 (multiplicity 3)

Summary:
Magnetization, μB/atom: 0.00
Energy above the lowest structure with this stoichiometry, kcal/mol of atoms: 0.00


An optimized crystal structure of CsK2RbI, computed with PBEsol.

Cell: 7.0083 7.0083 7.4794 Å, 90.00 90.00 90.00°
Space group P4/mmm (No. 123)
Inequivalent atoms, fractional coordinates:
Cs: 0.0000 0.0000 0.0000 (multiplicity 1)
K: 0.0000 0.5000 0.5000 (multiplicity 2)
Rb: 0.5000 0.5000 0.0000 (multiplicity 1)
I: 0.0000 0.0000 0.5000 (multiplicity 1)

Summary:
Magnetization, μB/atom: 0.00
Raw formation energy, meV per atom: -514


An optimized crystal structure of MgTlHIr2, computed with PBEsol.

Cell: 4.8495 4.8495 3.2492 Å, 90.00 90.00 90.00°
Space group P4/mmm (No. 123)
Inequivalent atoms, fractional coordinates:
Mg: 0.0000 0.0000 0.0000 (multiplicity 1)
Tl: 0.5000 0.5000 0.5000 (multiplicity 1)
H: 0.0000 0.0000 0.5000 (multiplicity 1)
Ir: 0.0000 0.5000 0.0000 (multiplicity 2)

Summary:
Magnetization, μB/atom: 0.00
DFT total energy, eV per atom: -4.379


An optimized crystal structure of NbTe4, computed with PBEsol.

Cell: 6.4878 6.4878 6.7824 Å, 90.00 90.00 90.00°
Space group P4/mcc (No. 124)
Inequivalent atoms, fractional coordinates:
Nb: 0.0000 0.0000 0.2500 (multiplicity 2)
Te: 0.1457 0.3263 0.0000 (multiplicity 8)

Summary:
Magnetization, μB/atom: 0.00
Raw formation energy, meV per atom: -337
Energy above the lowest structure with this stoichiometry, kcal/mol of atoms: 0.31


An optimized crystal structure of In3Pb, computed with PBEsol.

Cell: 4.7333 4.7333 4.7333 Å, 90.00 90.00 90.00°
Space group Pm-3m (No. 221)
Inequivalent atoms, fractional coordinates:
In: 0.0000 0.0000 0.5000 (multiplicity 3)
Pb: 0.5000 0.5000 0.5000 (multiplicity 1)

Summary:
Magnetization, μB/atom: 0.00
DFT total energy, eV per atom: -3.222


An optimized crystal structure of MnFeTc3, computed with PBEsol.

Cell: 4.2925 4.2925 4.2925 Å, 90.00 90.00 90.00°
Space group Pm-3m (No. 221)
Inequivalent atoms, fractional coordinates:
Mn: 0.0000 0.0000 0.0000 (multiplicity 1)
Fe: 0.5000 0.5000 0.5000 (multiplicity 1)
Tc: 0.0000 0.0000 0.5000 (multiplicity 3)

Summary:
Magnetization, μB/atom: 0.56
DFT total energy, eV per atom: -9.081


An optimized crystal structure of AgHgW2, computed with PBEsol.

Cell: 9.9255 2.9285 4.6721 Å, 90.00 100.81 90.00°
Space group C2/m (No. 12)
Inequivalent atoms, fractional coordinates:
Ag: 0.0000 0.0000 0.0000 (multiplicity 2)
Hg: 0.0000 0.5000 0.5000 (multiplicity 2)
W: 0.2499 0.0000 0.7531 (multiplicity 4)

Summary:
Magnetization, μB/atom: 0.00
DFT total energy, eV per atom: -7.219


An optimized crystal structure of Li2AlTc, computed with PBEsol.

Cell: 2.7019 4.4177 4.7067 Å, 90.00 90.00 90.00°
Space group Pmmm (No. 47)
Inequivalent atoms, fractional coordinates:
Li: 0.0000 0.0000 0.0000 (multiplicity 1)
Li: 0.5000 0.5000 0.0000 (multiplicity 1)
Al: 0.0000 0.5000 0.5000 (multiplicity 1)
Tc: 0.5000 0.0000 0.5000 (multiplicity 1)

Summary:
Magnetization, μB/atom: 0.00
DFT total energy, eV per atom: -4.812


An optimized crystal structure of KBeCu2, computed with PBEsol.

Cell: 2.6382 5.3771 9.4086 Å, 90.00 90.00 90.00°
Space group Immm (No. 71)
Inequivalent atoms, fractional coordinates:
K: 0.0000 0.0000 0.0000 (multiplicity 2)
Be: 0.0000 0.0000 0.5000 (multiplicity 2)
Cu: 0.0000 0.5000 0.1865 (multiplicity 4)

Summary:
Magnetization, μB/atom: 0.00
DFT total energy, eV per atom: -2.827


An optimized crystal structure of Cu2ReAg, computed with PBEsol.

Cell: 2.6484 2.6484 7.6841 Å, 90.00 90.00 90.00°
Space group P4/mmm (No. 123)
Inequivalent atoms, fractional coordinates:
Cu: 0.0000 0.0000 0.2424 (multiplicity 2)
Re: 0.5000 0.5000 0.0000 (multiplicity 1)
Ag: 0.5000 0.5000 0.5000 (multiplicity 1)

Summary:
Magnetization, μB/atom: 0.00
DFT total energy, eV per atom: -6.075


An optimized crystal structure of LiCl5, computed with PBEsol.

Cell: 3.3740 3.3740 10.2367 Å, 90.00 90.00 90.00°
Space group P4/mmm (No. 123)
Inequivalent atoms, fractional coordinates:
Li: 0.0000 0.0000 0.0000 (multiplicity 1)
Cl: 0.0000 0.0000 0.3390 (multiplicity 2)
Cl: 0.5000 0.5000 0.1213 (multiplicity 2)
Cl: 0.5000 0.5000 0.5000 (multiplicity 1)

Summary:
Magnetization, μB/atom: 0.14
Raw formation energy, meV per atom: -39


An optimized crystal structure of NaAgAs2Se, computed with PBEsol.

Cell: 4.9428 4.9428 5.2497 Å, 90.00 90.00 90.00°
Space group P4/mmm (No. 123)
Inequivalent atoms, fractional coordinates:
Na: 0.0000 0.0000 0.0000 (multiplicity 1)
Ag: 0.5000 0.5000 0.5000 (multiplicity 1)
As: 0.0000 0.5000 0.5000 (multiplicity 2)
Se: 0.5000 0.5000 0.0000 (multiplicity 1)

Summary:
Magnetization, μB/atom: 0.06
Raw formation energy, meV per atom: 409


An optimized crystal structure of CaInAu2, computed with PBEsol.

Cell: 4.4269 3.8007 10.4424 Å, 90.00 90.00 90.00°
Space group Amm2 (No. 38)
Inequivalent atoms, fractional coordinates:
Ca: 0.0000 0.0000 0.0000 (multiplicity 2)
In: 0.5000 0.0000 0.2906 (multiplicity 2)
Au: 0.0000 0.0000 0.7270 (multiplicity 2)
Au: 0.5000 0.0000 0.5621 (multiplicity 2)

Summary:
Magnetization, μB/atom: 0.00
DFT total energy, eV per atom: -3.785


An optimized crystal structure of RbRe2Br, computed with PBEsol.

Cell: 6.5791 6.5791 6.5791 Å, 90.00 90.00 90.00°
Space group Fm-3m (No. 225)
Inequivalent atoms, fractional coordinates:
Rb: 0.0000 0.0000 0.0000 (multiplicity 4)
Re: 0.2500 0.2500 0.2500 (multiplicity 8)
Br: 0.0000 0.0000 0.5000 (multiplicity 4)

Summary:
Magnetization, μB/atom: 0.00
Raw formation energy, meV per atom: 2717